Entry 1:
A relaxed BeTlVH2 crystal, computed with GGA-PBE.

DFT total energy	-3.392	eV/atom

abc: 3.7605 3.7605 4.7071
angles: 90.00 90.00 90.00
Closest atoms and distances in Å follow each position.
Fractional coordinates of all 5 atoms:
Be (0.0000, 0.0000, 0.0000)  4 H 1.88
Tl (0.5000, 0.5000, 0.5000)  4 V 2.66
V (0.0000, 0.0000, 0.5000)  2 Be 2.35
H (0.0000, 0.5000, 0.0000)  2 Be 1.88
H (0.5000, 0.0000, 0.0000)  2 Be 1.88


Entry 2:
A relaxed UBe2H6 crystal, computed with GGA-PBE.

DFT total energy	-3.404	eV/atom

abc: 4.6383 4.6383 4.6383
angles: 60.00 60.00 60.00
Closest atoms and distances in Å follow each position.
Fractional coordinates of all 9 atoms:
U (0.0000, 0.0000, 0.0000)  6 H 2.01
Be (0.2500, 0.2500, 0.2500)  12 H 2.35
Be (0.7500, 0.7500, 0.7500)  12 H 2.35
H (0.3059, 0.3059, 0.6941)  4 H 1.80, 1 U 2.01
H (0.3059, 0.6941, 0.3059)  4 H 1.80, 1 U 2.01
H (0.3059, 0.6941, 0.6941)  4 H 1.80, 1 U 2.01
H (0.6941, 0.3059, 0.3059)  4 H 1.80, 1 U 2.01
H (0.6941, 0.3059, 0.6941)  4 H 1.80, 1 U 2.01
H (0.6941, 0.6941, 0.3059)  4 H 1.80, 1 U 2.01


Entry 3:
A relaxed UBeH crystal, computed with GGA-PBE.

DFT total energy	-5.768	eV/atom

abc: 2.7075 4.2045 4.2045
angles: 57.40 90.00 90.00
Closest atoms and distances in Å follow each position.
Fractional coordinates of all 3 atoms:
U (0.0000, 0.0000, 0.0000)  4 H 2.44, 2 U 2.71, 2 Be 2.72
Be (0.5000, 0.3206, 0.3206)  1 H 1.53
H (0.5000, 0.5285, 0.5285)  1 Be 1.53


Entry 4:
A relaxed Be3VH crystal, computed with GGA-PBE.

DFT total energy	-2.583	eV/atom

abc: 4.5723 4.5723 4.5723
angles: 90.00 90.00 90.00
Closest atoms and distances in Å follow each position.
Fractional coordinates of all 5 atoms:
Be (0.0000, 0.0000, 0.5000)  2 V 2.29
Be (0.0000, 0.5000, 0.0000)  2 V 2.29
Be (0.5000, 0.0000, 0.0000)  2 V 2.29
V (0.0000, 0.0000, 0.0000)  6 Be 2.29
H (0.5000, 0.5000, 0.5000)  12 Be 3.23


Entry 5:
A relaxed BeVH3 crystal, computed with GGA-PBE.

DFT total energy	-4.599	eV/atom

abc: 2.6701 3.8947 6.3683
angles: 96.21 90.15 90.11
Closest atoms and distances in Å follow each position.
Fractional coordinates of all 10 atoms:
Be (0.2487, 0.1702, 0.2351)  3 H 1.51-1.64
Be (0.7513, 0.8298, 0.7649)  3 H 1.51-1.64
V (0.2507, 0.2787, 0.6322)  6 H 1.83-1.92
V (0.7493, 0.7213, 0.3678)  6 H 1.83-1.92
H (0.2485, 0.5391, 0.1808)  1 Be 1.51
H (0.2506, 0.0337, 0.8621)  2 Be 1.64
H (0.2508, 0.7481, 0.5677)  2 Be 1.84, 3 V 1.84-1.92
H (0.7492, 0.2519, 0.4323)  2 Be 1.84, 3 V 1.84-1.92
H (0.7494, 0.9663, 0.1379)  2 Be 1.64
H (0.7515, 0.4609, 0.8192)  1 Be 1.51


Entry 6:
A relaxed BeVH crystal, computed with GGA-PBE.

DFT total energy	-5.368	eV/atom

abc: 2.6767 2.6767 4.0653
angles: 90.00 90.00 120.00
Closest atoms and distances in Å follow each position.
Fractional coordinates of all 3 atoms:
Be (0.0000, 0.0000, 0.0000)  3 H 1.91
V (0.3333, 0.6667, 0.5172)  3 H 1.83
H (0.6667, 0.3333, 0.2774)  3 V 1.83, 3 Be 1.91